The following is a DFT calculation (PBE-GGA) of a geometry-optimized BaCrIn2Ni structure.

abc: 5.194 5.925 5.194
angles: 90.00 90.00 90.00
Atoms (fractional coordinates):
Cr 0.000 0.000 0.000
Ni 0.500 0.500 0.500
Ba 0.000 0.500 0.000
In 0.000 0.000 0.500
In 0.500 0.000 0.000

Values from the calculation:
E   -3.80 eV/atom
ΔE_f   0.762 eV per atom
Density of states at the Fermi level   1.4119 states/eV/atom
Theoretical density   4.96 g/cm³
Symmetry   P4/mmm (123)

The following is a DFT calculation (PBE-GGA) of a geometry-optimized PmY7Mg4 structure.

abc: 5.759 9.109 8.093
angles: 69.12 69.16 71.57
Atoms (fractional coordinates):
Pm 0.000 0.000 0.000
Y 0.795 0.879 0.531
Y 0.205 0.121 0.469
Y 0.078 0.577 0.267
Y 0.922 0.423 0.733
Y 0.254 0.705 0.787
Y 0.500 0.000 0.000
Y 0.746 0.295 0.213
Mg 0.542 0.301 0.616
Mg 0.458 0.699 0.384
Mg 0.676 0.656 0.993
Mg 0.324 0.344 0.007

Values from the calculation:
E   -4.55 eV/atom
ΔE_f   0.147 eV per atom
Density of states at the Fermi level   1.4563 states/eV/atom
Theoretical density   3.97 g/cm³
Symmetry   C2/m (12)

The following is a DFT calculation (PBE-GGA) of a geometry-optimized In2SbMo structure.

abc: 4.435 3.780 5.758
angles: 71.02 90.00 90.00
Atoms (fractional coordinates):
In 0.000 0.965 0.947
In 0.500 0.280 0.313
Mo 0.000 0.699 0.478
Sb 0.500 0.557 0.762

Values from the calculation:
E   -4.79 eV/atom
Formation energy from raw total energies   0.320 eV per atom
Density of states at the Fermi level   0.7790 states/eV/atom
Theoretical density   8.14 g/cm³
Symmetry   Pm (6)

The following is a DFT calculation (PBE-GGA) of a geometry-optimized Ho6TlZn2 structure.

abc: 8.580 8.580 8.580
angles: 106.86 111.18 110.41
Atoms (fractional coordinates):
Ho 0.541 0.725 0.816
Ho 0.459 0.275 0.184
Ho 0.091 0.275 0.816
Ho 0.909 0.725 0.184
Ho 0.793 0.760 0.553
Ho 0.207 0.240 0.447
Ho 0.207 0.760 0.967
Ho 0.793 0.240 0.033
Ho 0.711 0.394 0.683
Ho 0.289 0.606 0.317
Ho 0.289 0.973 0.683
Ho 0.711 0.027 0.317
Tl 0.000 0.500 0.500
Tl 0.000 0.000 0.000
Zn 0.500 0.376 0.876
Zn 0.500 0.624 0.124
Zn 0.637 0.000 0.637
Zn 0.363 0.000 0.363

Values from the calculation:
E   -3.82 eV/atom
Relative energy among the computed polymorphs   0.00 eV per formula unit
ΔE_f   -0.224 eV per atom
Density of states at the Fermi level   0.9286 states/eV/atom
Theoretical density   9.06 g/cm³
Symmetry   Immm (71)

The following is a DFT calculation (PBE-GGA) of a geometry-optimized Tl2CoNi structure.

abc: 4.579 4.579 3.251
angles: 90.00 90.00 90.00
Atoms (fractional coordinates):
Co 0.500 0.000 0.500
Ni 0.000 0.500 0.500
Tl 0.000 0.000 0.000
Tl 0.500 0.500 0.000

Values from the calculation:
E   -3.93 eV/atom
Relative energy among the computed polymorphs   0.31 eV per formula unit
ΔE_f   0.472 eV per atom
Density of states at the Fermi level   0.6105 states/eV/atom
Theoretical density   12.82 g/cm³
Symmetry   P4/mmm (123)

The following is a DFT calculation (PBE-GGA) of a geometry-optimized InMo2CCl structure.

abc: 5.439 5.439 5.263
angles: 90.00 90.00 90.00
Atoms (fractional coordinates):
Mo 0.000 0.500 0.000
Mo 0.500 0.000 0.000
Cl 0.000 0.000 0.500
C 0.500 0.500 0.500
In 0.000 0.000 0.000

Values from the calculation:
E   -4.03 eV/atom
Formation energy from raw total energies   3.068 eV per atom
Density of states at the Fermi level   1.1999 states/eV/atom
Theoretical density   3.78 g/cm³
Symmetry   P4/mmm (123)

The following is a DFT calculation (PBE-GGA) of a geometry-optimized LaTlReO6 structure.

abc: 5.742 5.746 4.833
angles: 89.90 90.03 59.97
Atoms (fractional coordinates):
La 0.667 0.667 0.589
Tl 0.000 0.000 0.031
Re 0.333 0.333 0.472
O 0.033 0.385 0.264
O 0.297 0.079 0.705
O 0.625 0.296 0.704
O 0.080 0.623 0.705
O 0.384 0.583 0.265
O 0.582 0.034 0.265

Values from the calculation:
E   -7.31 eV/atom
Formation energy from raw total energies   -1.807 eV per atom
Density of states at the Fermi level   0.3582 states/eV/atom
Theoretical density   7.52 g/cm³
Symmetry   P1 (1)

The following is a DFT calculation (PBE-GGA) of a geometry-optimized RbNaNp2O8 structure.

abc: 5.970 5.970 6.852
angles: 90.00 90.00 120.00
Atoms (fractional coordinates):
Rb 0.000 0.000 0.500
Na 0.000 0.000 0.000
Np 0.667 0.333 0.057
Np 0.333 0.667 0.943
O 0.939 0.613 0.875
O 0.387 0.326 0.875
O 0.674 0.061 0.875
O 0.061 0.387 0.125
O 0.613 0.674 0.125
O 0.326 0.939 0.125
O 0.667 0.333 0.328
O 0.333 0.667 0.672

Values from the calculation:
E   -7.90 eV/atom
Formation energy from raw total energies   -2.244 eV per atom
Theoretical density   5.58 g/cm³
Symmetry   P-3 (147)